No. 1
An optimized crystal structure of KCuAg4, computed with GGA-PBEsol.

Cell: 5.4980 5.4980 5.4980 Å, 60.00 60.00 60.00°
With the nearest neighbours (Å) after each atom.
Fractional positions:
K1 0.0000 0.0000 0.0000  12 Ag 3.23, 4 Cu 3.37
Cu1 0.2500 0.2500 0.2500  12 Ag 3.22, 4 K 3.37
Ag1 0.1270 0.6243 0.6243  6 Ag 2.73-2.76
Ag2 0.6243 0.1270 0.6243  6 Ag 2.73-2.76
Ag3 0.6243 0.6243 0.1270  6 Ag 2.73-2.76
Ag4 0.6243 0.6243 0.6243  6 Ag 2.73-2.76

Results
The total magnetization comes out at 0.00 μB per formula unit. Its crystal system is cubic. The formation energy from the elements is 1.58 eV/f.u. Its space group is F-43m (216).



No. 2
An optimized crystal structure of TiCu2TcW, computed with GGA-PBEsol.

Cell: 4.4817 4.4817 4.2642 Å, 90.00 90.00 90.00°
With the nearest neighbours (Å) after each atom.
Fractional positions:
Ti1 0.0000 0.0000 0.0000  2 Tc 2.13
Cu1 0.0000 0.5000 0.5000  2 Tc 2.24
Cu2 0.5000 0.0000 0.5000  2 Tc 2.24
Tc1 0.0000 0.0000 0.5000  2 Ti 2.13, 4 Cu 2.24
W1 0.5000 0.5000 0.0000  8 Cu 3.09, 4 Ti 3.17

Results
The total magnetization comes out at 0.00 μB per formula unit. Its crystal system is tetragonal. The formation energy from the elements is 8.40 eV/f.u. Its space group is P4/mmm (123).



No. 3
An optimized crystal structure of CrCuP, computed with GGA-PBEsol.

Cell: 4.7101 4.7101 4.7101 Å, 144.53 144.53 51.04°
With the nearest neighbours (Å) after each atom.
Fractional positions:
Cr1 0.0000 0.0000 0.0000  4 P 2.31
Cu1 0.3069 0.3069 0.0000  5 P 2.53-2.75, 5 Cr 2.61
P1 0.6300 0.6300 0.0000  4 Cr 2.31, 4 Cu 2.53

Results
The total magnetization comes out at 0.00 μB per formula unit. Its crystal system is tetragonal. The formation energy from the elements is 0.11 eV/f.u. Its space group is I4mm (107).



No. 4
An optimized crystal structure of Sb2TeRuBr, computed with GGA-PBEsol.

Cell: 5.3422 5.3422 5.2652 Å, 90.00 90.00 90.00°
With the nearest neighbours (Å) after each atom.
Fractional positions:
Sb1 0.0000 0.5000 0.0000  2 Br 2.67
Sb2 0.5000 0.0000 0.0000  2 Br 2.67
Te1 0.0000 0.0000 0.5000  2 Br 2.63
Ru1 0.5000 0.5000 0.5000  8 Sb 3.75, 4 Te 3.78
Br1 0.0000 0.0000 0.0000  2 Te 2.63, 4 Sb 2.67

Results
The uncorrected formation energy is 1.716 eV/atom. The total magnetization comes out at 1.83 μB per formula unit. Its crystal system is tetragonal. Its space group is P4/mmm (123).



No. 5
An optimized crystal structure of TaBiPt3, computed with GGA-PBEsol.

Cell: 4.8919 4.8919 4.8919 Å, 90.00 90.00 90.00°
With the nearest neighbours (Å) after each atom.
Fractional positions:
Ta1 0.0000 0.0000 0.0000  12 Pt 3.46
Bi1 0.5000 0.5000 0.5000  6 Pt 2.45
Pt1 0.0000 0.5000 0.5000  2 Bi 2.45
Pt2 0.5000 0.0000 0.5000  2 Bi 2.45
Pt3 0.5000 0.5000 0.0000  2 Bi 2.45

Results
The total magnetization comes out at 1.95 μB per formula unit. Its crystal system is cubic. The formation energy from the elements is 8.46 eV/f.u. Its space group is Pm-3m (221).



No. 6
An optimized crystal structure of Tl3Ge, computed with GGA-PBEsol.

Cell: 4.6892 4.6892 4.6892 Å, 90.00 90.00 90.00°
With the nearest neighbours (Å) after each atom.
Fractional positions:
Tl1 0.0000 0.0000 0.5000  4 Ge 3.32, 8 Tl 3.32
Tl2 0.0000 0.5000 0.0000  4 Ge 3.32, 8 Tl 3.32
Tl3 0.5000 0.0000 0.0000  4 Ge 3.32, 8 Tl 3.32
Ge1 0.5000 0.5000 0.5000  12 Tl 3.32

Results
The total magnetization comes out at 0.00 μB per formula unit. Its crystal system is cubic. The formation energy from the elements is 0.64 eV/f.u. Its space group is Pm-3m (221).



No. 7
An optimized crystal structure of CaRuC3, computed with GGA-PBEsol.

Cell: 3.9582 3.9582 3.9582 Å, 90.00 90.00 90.00°
With the nearest neighbours (Å) after each atom.
Fractional positions:
Ca1 0.0000 0.0000 0.0000  12 C 2.80
Ru1 0.5000 0.5000 0.5000  6 C 1.98
C1 0.0000 0.5000 0.5000  2 Ru 1.98
C2 0.5000 0.0000 0.5000  2 Ru 1.98
C3 0.5000 0.5000 0.0000  2 Ru 1.98

Results
The total magnetization comes out at 0.00 μB per formula unit. Its crystal system is cubic. The formation energy from the elements is 6.25 eV/f.u. Its space group is Pm-3m (221).



No. 8
An optimized crystal structure of TlAsRh2Br, computed with GGA-PBEsol.

Cell: 4.9630 4.9630 5.2027 Å, 90.00 90.00 90.00°
With the nearest neighbours (Å) after each atom.
Fractional positions:
Tl1 0.0000 0.0000 0.0000  4 Rh 2.48, 2 Br 2.60
As1 0.5000 0.5000 0.5000  4 Br 3.51, 8 Rh 3.60
Rh1 0.0000 0.5000 0.0000  2 Tl 2.48
Rh2 0.5000 0.0000 0.0000  2 Tl 2.48
Br1 0.0000 0.0000 0.5000  2 Tl 2.60

Results
The uncorrected formation energy is 1.625 eV/atom. The total magnetization comes out at 0.00 μB per formula unit. Its crystal system is tetragonal. Its space group is P4/mmm (123).



No. 9
An optimized crystal structure of BaAlP2, computed with GGA-PBEsol.

Cell: 5.1470 5.1470 5.1470 Å, 128.52 104.76 97.03°
With the nearest neighbours (Å) after each atom.
Fractional positions:
Ba1 0.0000 0.0000 0.0000  8 P 3.20-3.34, 2 Al 3.41
Al1 0.5000 0.5000 0.0000  4 P 2.50
P1 0.3360 0.8360 0.5000  1 P 2.24, 2 Al 2.50
P2 0.6640 0.1640 0.5000  1 P 2.24, 2 Al 2.50

Results
The total magnetization comes out at 0.00 μB per formula unit. Its crystal system is orthorhombic. The formation energy from the elements is -1.77 eV/f.u. Its space group is Immm (71).



No. 10
An optimized crystal structure of HgOs2AuS, computed with GGA-PBEsol.

Cell: 4.9689 4.9689 4.9568 Å, 90.00 90.00 90.00°
With the nearest neighbours (Å) after each atom.
Fractional positions:
Hg1 0.0000 0.0000 0.0000  2 Au 2.48, 4 Os 2.48
Os1 0.0000 0.5000 0.0000  2 Hg 2.48
Os2 0.5000 0.0000 0.0000  2 Hg 2.48
Au1 0.0000 0.0000 0.5000  2 Hg 2.48
S1 0.5000 0.5000 0.5000  8 Os 3.51, 4 Au 3.51

Results
The uncorrected formation energy is 2.898 eV/atom. The total magnetization comes out at 4.94 μB per formula unit. Its crystal system is tetragonal. Its space group is P4/mmm (123).



No. 11
An optimized crystal structure of MgAl3Sb, computed with GGA-PBEsol.

Cell: 5.2986 5.2986 5.2986 Å, 90.00 90.00 90.00°
With the nearest neighbours (Å) after each atom.
Fractional positions:
Mg1 0.0000 0.0000 0.0000  12 Al 3.75
Al1 0.0000 0.5000 0.5000  2 Sb 2.65
Al2 0.5000 0.0000 0.5000  2 Sb 2.65
Al3 0.5000 0.5000 0.0000  2 Sb 2.65
Sb1 0.5000 0.5000 0.5000  6 Al 2.65

Results
The uncorrected formation energy is 0.833 eV/atom. The total magnetization comes out at 0.00 μB per formula unit. Its crystal system is cubic. Its space group is Pm-3m (221).



No. 12
An optimized crystal structure of LaCo2, computed with GGA-PBEsol.

Cell: 4.1979 4.1979 4.1979 Å, 60.00 60.00 60.00°
With the nearest neighbours (Å) after each atom.
Fractional positions:
La1 0.0000 0.0000 0.0000  8 Co 2.57
Co1 0.2500 0.2500 0.2500  4 La 2.57
Co2 0.7500 0.7500 0.7500  4 La 2.57

Results
The total magnetization comes out at 0.71 μB per formula unit. Its crystal system is cubic. The formation energy from the elements is 2.68 eV/f.u. Its space group is Fm-3m (225).



Number 1: V 118 Å³ per cell. Number 2: V 86 Å³ per cell. Number 3: V 35 Å³ per cell. Number 4: V 150 Å³ per cell. Number 5: V 117 Å³ per cell. Number 6: V 103 Å³ per cell. Number 7: V 62 Å³ per cell. Number 8: V 128 Å³ per cell. Number 9: V 96 Å³ per cell. Number 10: V 122 Å³ per cell. Number 11: V 149 Å³ per cell. Number 12: V 52 Å³ per cell.